# 1
This record from Alexandria describes crystalline PrNdBr5 at its relaxed geometry. The functional is PBE.

a = 8.518 Å, b = 4.150 Å, c = 13.835 Å
α = 90.00°, β = 93.70°, γ = 90.00°
Atoms (fractional coordinates):
Pr: 0.099 0.250 0.152
Pr: 0.901 0.750 0.848
Nd: 0.419 0.750 0.344
Nd: 0.581 0.250 0.656
Br: 0.063 0.750 0.309
Br: 0.136 0.250 0.929
Br: 0.319 0.250 0.484
Br: 0.349 0.750 0.125
Br: 0.362 0.750 0.714
Br: 0.638 0.250 0.286
Br: 0.651 0.250 0.875
Br: 0.681 0.750 0.516
Br: 0.864 0.750 0.071
Br: 0.937 0.250 0.691

SG: P2_1/m (11)
DOS at the Fermi energy: 0.81 states/eV/f.u.
Uncorrected energy: -4.379 eV per atom


# 2
This record from Alexandria describes crystalline Sb2MoSI at its relaxed geometry. The functional is PBE.

a = 5.170 Å, b = 5.170 Å, c = 5.471 Å
α = 90.00°, β = 90.00°, γ = 90.00°
Atoms (fractional coordinates):
Sb: 0.000 0.500 0.000
Sb: 0.500 0.000 0.000
Mo: 0.000 0.000 0.500
S: 0.500 0.500 0.000
I: 0.500 0.500 0.500

SG: P4/mmm (123)
DOS at the Fermi energy: 3.07 states/eV/f.u.
ΔE to the lowest computed polymorph: 497 meV/atom


# 3
This record from Alexandria describes crystalline Ho6In3Ir at its relaxed geometry. The functional is PBE.

a = 9.187 Å, b = 5.231 Å, c = 11.340 Å
α = 90.00°, β = 107.48°, γ = 90.00°
Atoms (fractional coordinates):
Ho: 0.044 0.250 0.417
Ho: 0.189 0.750 0.167
Ho: 0.282 0.250 0.002
Ho: 0.352 0.750 0.828
Ho: 0.370 0.250 0.340
Ho: 0.400 0.250 0.645
Ho: 0.600 0.750 0.355
Ho: 0.630 0.750 0.660
Ho: 0.648 0.250 0.172
Ho: 0.718 0.750 0.998
Ho: 0.811 0.250 0.833
Ho: 0.956 0.750 0.583
In: 0.012 0.750 0.879
In: 0.097 0.250 0.718
In: 0.278 0.750 0.476
In: 0.722 0.250 0.524
In: 0.903 0.750 0.282
In: 0.988 0.250 0.121
Ir: 0.458 0.750 0.095
Ir: 0.542 0.250 0.905

SG: P2_1/m (11)
DOS at the Fermi energy: 8.47 states/eV/f.u.
ΔE_f: -0.46 eV/atom


# 4
This record from Alexandria describes crystalline La3Y2TmAs6 at its relaxed geometry. The functional is PBE.

a = 7.351 Å, b = 7.351 Å, c = 7.335 Å
α = 99.61°, β = 99.61°, γ = 120.00°
Atoms (fractional coordinates):
La: 0.000 0.000 0.000
La: 0.333 0.667 0.000
La: 0.667 0.333 0.000
Y: 0.166 0.834 0.500
Y: 0.834 0.166 0.500
Tm: 0.500 0.500 0.500
As: 0.090 0.421 0.264
As: 0.248 0.248 0.736
As: 0.421 0.090 0.264
As: 0.579 0.910 0.736
As: 0.752 0.752 0.264
As: 0.910 0.579 0.736

SG: C2/m (12)
DOS at the Fermi energy: 1.30 states/eV/f.u.
ΔE_f: -1.55 eV/atom


# 5
This record from Alexandria describes crystalline Sm2P3Pt6 at its relaxed geometry. The functional is PBE.

a = 23.040 Å, b = 23.040 Å, c = 23.040 Å
α = 169.68°, β = 169.68°, γ = 14.61°
Atoms (fractional coordinates):
Sm: 0.075 0.325 0.750
Sm: 0.325 0.075 0.250
Sm: 0.675 0.925 0.750
Sm: 0.925 0.675 0.250
P: 0.200 0.450 0.750
P: 0.375 0.625 0.750
P: 0.450 0.200 0.250
P: 0.550 0.800 0.750
P: 0.625 0.375 0.250
P: 0.800 0.550 0.250
Pt: 0.025 0.775 0.250
Pt: 0.149 0.399 0.750
Pt: 0.225 0.975 0.250
Pt: 0.273 0.523 0.750
Pt: 0.399 0.149 0.250
Pt: 0.477 0.727 0.750
Pt: 0.523 0.273 0.250
Pt: 0.601 0.851 0.750
Pt: 0.727 0.477 0.250
Pt: 0.775 0.025 0.750
Pt: 0.851 0.601 0.250
Pt: 0.975 0.225 0.750

SG: I4_1/amd (141)
DOS at the Fermi energy: 5.57 states/eV/f.u.
ΔE_f: -1.00 eV/atom
ΔE to the lowest computed polymorph: 0 meV/atom


# 6
This record from Alexandria describes crystalline Nd3Y2Ho6Pu at its relaxed geometry. The functional is PBE.

a = 6.176 Å, b = 6.176 Å, c = 11.739 Å
α = 95.04°, β = 95.04°, γ = 120.01°
Atoms (fractional coordinates):
Nd: 0.000 0.000 0.000
Nd: 0.333 0.667 0.000
Nd: 0.667 0.333 0.000
Y: 0.167 0.833 0.500
Y: 0.833 0.167 0.500
Ho: 0.090 0.418 0.255
Ho: 0.253 0.253 0.746
Ho: 0.418 0.090 0.255
Ho: 0.582 0.910 0.745
Ho: 0.747 0.747 0.254
Ho: 0.910 0.582 0.745
Pu: 0.500 0.500 0.500

SG: C2/m (12)
DOS at the Fermi energy: 22.89 states/eV/f.u.
ΔE_f: 0.05 eV/atom


Question: What is the DOS at the Fermi energy in the fourth record?
Answer: 1.30 states/eV/f.u.